1.
Compound: NdLuTlRh
Source: Alexandria
Functional: PBE-GGA
Structure: optimized geometry

Size of the total moment (μB/atom): 0.004
Symmetry: F-43m (216)
ΔE_f (eV/atom): -0.42

abc: 5.157 5.157 5.157
angles: 60.00 60.00 60.00
Element x y z (fractional)
Nd1 0.000 0.000 0.000
Lu1 0.500 0.500 0.500
Tl1 0.750 0.750 0.750
Rh1 0.250 0.250 0.250

---

2.
Compound: U2Al2Si4Ni
Source: Alexandria
Functional: PBE-GGA
Structure: optimized geometry

Uncorrected formation energy (eV per atom): -0.322
Size of the total moment (μB/atom): 0.195
Symmetry: I4/mmm (139)

abc: 5.873 5.873 5.873
angles: 118.09 118.09 93.35
Element x y z (fractional)
U1 0.250 0.750 0.500
U2 0.750 0.250 0.500
Al1 0.212 0.212 0.000
Al2 0.788 0.788 0.000
Si1 0.229 0.229 0.458
Si2 0.229 0.771 0.000
Si3 0.771 0.229 0.000
Si4 0.771 0.771 0.542
Ni1 0.500 0.500 0.000

---

Calculated mass density in order - 10.7, 7.9 g cm⁻³